# IrRhAu2

A relaxed IrRhAu2 crystal (GGA-PBEsol, the Alexandria database).

Computed properties:
- V: 15.2 Å³/atom
- Energy of formation: 372 meV/atom
- E: -6.08 eV per atom
- Distance to the lowest polymorph of the same formula: 0.000 eV per atom

Unit cell a=3.9595 b=3.9595 c=7.7744 alpha=90.00 beta=90.00 gamma=90.00
Space group I4/mmm (No. 139)
One atom of each set of equivalent atoms:
Ir 0.0000 0.0000 0.0000 x2
Rh 0.0000 0.0000 0.5000 x2
Au 0.0000 0.5000 0.2500 x4

# CaLa2Sb2

A relaxed CaLa2Sb2 crystal (GGA-PBEsol, the Alexandria database).

Computed properties:
- V: 31.1 Å³/atom
- Energy relative to the elements, uncorrected: -1.092 eV per atom
- E: -5.48 eV per atom
- Distance to the lowest polymorph of the same formula: 0.000 eV per atom

Unit cell a=8.4415 b=8.4415 c=4.3675 alpha=90.00 beta=90.00 gamma=90.00
Space group P4/mbm (No. 127)
One atom of each set of equivalent atoms:
Ca 0.0000 0.0000 0.0000 x2
La 0.1530 0.3470 0.5000 x4
Sb 0.1507 0.6507 0.0000 x4

# K3NpH2O6

A relaxed K3NpH2O6 crystal (GGA-PBEsol, the Alexandria database).

Computed properties:
- V: 14.7 Å³/atom
- E: -6.59 eV per atom

Unit cell a=9.7668 b=10.8812 c=6.6210 alpha=90.00 beta=90.00 gamma=90.00
Space group Pccn (No. 56)
One atom of each set of equivalent atoms:
K 0.0856 0.1578 0.0074 x8
K 0.2500 0.7500 0.1034 x4
Np 0.0000 0.0000 0.5000 x4
H 0.2114 0.5121 0.2990 x8
O 0.0592 0.6443 0.8591 x8
O 0.1232 0.5555 0.2757 x8
O 0.1510 0.0935 0.3922 x8

# RbMg2Cd2

A relaxed RbMg2Cd2 crystal (GGA-PBEsol, the Alexandria database).

Computed properties:
- V: 26.4 Å³/atom
- Energy of formation: 13 meV/atom
- E: -1.36 eV per atom
- Distance to the lowest polymorph of the same formula: 0.000 eV per atom

Unit cell a=9.2794 b=9.2794 c=3.0698 alpha=90.00 beta=90.00 gamma=90.00
Space group P4/mbm (No. 127)
One atom of each set of equivalent atoms:
Rb 0.0000 0.0000 0.0000 x2
Mg 0.1340 0.3660 0.5000 x4
Cd 0.1543 0.6543 0.0000 x4

# ZrAl2Cu

A relaxed ZrAl2Cu crystal (GGA-PBEsol, the Alexandria database).

Computed properties:
- V: 16.1 Å³/atom
- Energy of formation: -405 meV/atom
- E: -5.81 eV per atom

Unit cell a=7.2164 b=6.7413 c=5.2902 alpha=90.00 beta=90.00 gamma=90.00
Space group Pnma (No. 62)
One atom of each set of equivalent atoms:
Zr 0.0241 0.2500 0.1158 x4
Al 0.1878 0.0532 0.6095 x8
Cu 0.1007 0.7500 0.3824 x4

# Mn5P6WO24

A relaxed Mn5P6WO24 crystal (GGA-PBEsol, the Alexandria database).

Computed properties:
- V: 12.5 Å³/atom
- Energy relative to the elements, uncorrected: -1.955 eV per atom
- E: -8.16 eV per atom

Unit cell a=8.6347 b=8.6347 c=20.9100 alpha=90.00 beta=90.00 gamma=120.00
Space group R3 (No. 146, hexagonal axes)
One atom of each set of equivalent atoms:
Mn 0.0000 0.0000 0.0000 x3
Mn 0.0000 0.0000 0.1398 x3
Mn 0.0000 0.0000 0.5028 x3
Mn 0.0000 0.0000 0.6462 x3
Mn 0.0000 0.0000 0.7905 x3
P 0.0001 0.2958 0.3989 x9
P 0.0437 0.6732 0.5631 x9
W 0.0000 0.0000 0.2896 x3
O 0.0012 0.8031 0.9572 x9
O 0.0058 0.1983 0.4580 x9
O 0.0123 0.8004 0.8345 x9
O 0.0159 0.8361 0.5690 x9
O 0.0176 0.1836 0.0695 x9
O 0.1612 0.4757 0.0056 x9
O 0.1625 0.6703 0.8963 x9
O 0.1697 0.4734 0.3845 x9

# MgW2Br

A relaxed MgW2Br crystal (GGA-PBEsol, the Alexandria database).

Computed properties:
- V: 18.9 Å³/atom
- Energy relative to the elements, uncorrected: 0.775 eV per atom
- E: -7.03 eV per atom
- Distance to the lowest polymorph of the same formula: 0.010 eV per atom

Unit cell a=3.2384 b=5.1362 c=4.5440 alpha=90.00 beta=93.04 gamma=90.00
Space group P2/m (No. 10)
One atom of each set of equivalent atoms:
Mg 0.0000 0.0000 0.0000 x1
W 0.2776 0.5000 0.2010 x2
Br 0.5000 0.0000 0.5000 x1

# ZnNi6Sb

A relaxed ZnNi6Sb crystal (GGA-PBEsol, the Alexandria database).

Computed properties:
- V: 11.6 Å³/atom
- Energy relative to the elements, uncorrected: -0.164 eV per atom
- E: -5.55 eV per atom

Unit cell a=7.2003 b=10.1657 c=10.1851 alpha=90.00 beta=90.00 gamma=90.00
Space group Cmmm (No. 65)
One atom of each set of equivalent atoms:
Zn 0.0000 0.0000 0.2449 x4
Zn 0.0000 0.2511 0.0000 x4
Ni 0.0000 0.0000 0.0000 x2
Ni 0.0000 0.0000 0.5000 x2
Ni 0.0000 0.2462 0.2444 x8
Ni 0.0000 0.5000 0.0000 x2
Ni 0.0000 0.5000 0.5000 x2
Ni 0.2453 0.1273 0.1212 x16
Ni 0.2462 0.1229 0.3712 x16
Sb 0.0000 0.2505 0.5000 x4
Sb 0.0000 0.5000 0.2436 x4

# Cd3Au2

A relaxed Cd3Au2 crystal (GGA-PBEsol, the Alexandria database).

Computed properties:
- V: 18.8 Å³/atom
- Energy of formation: -57 meV/atom
- E: -2.35 eV per atom
- Distance to the lowest polymorph of the same formula: 0.108 eV per atom

Unit cell a=3.1001 b=3.1001 c=19.5878 alpha=90.00 beta=90.00 gamma=90.00
Space group I4/mmm (No. 139)
One atom of each set of equivalent atoms:
Cd 0.0000 0.0000 0.0000 x2
Cd 0.0000 0.0000 0.3916 x4
Au 0.0000 0.0000 0.2030 x4

# ZrSbMoAu2

A relaxed ZrSbMoAu2 crystal (GGA-PBEsol, the Alexandria database).

Computed properties:
- V: 24.0 Å³/atom
- Energy relative to the elements, uncorrected: 0.902 eV per atom
- E: -5.75 eV per atom

Unit cell a=4.9039 b=4.9039 c=4.9856 alpha=90.00 beta=90.00 gamma=90.00
Space group P4/mmm (No. 123)
One atom of each set of equivalent atoms:
Zr 0.0000 0.0000 0.0000 x1
Sb 0.5000 0.5000 0.0000 x1
Mo 0.5000 0.5000 0.5000 x1
Au 0.0000 0.5000 0.5000 x2

# NbCrGe

A relaxed NbCrGe crystal (GGA-PBEsol, the Alexandria database).

Computed properties:
- V: 14.4 Å³/atom
- Energy of formation: -318 meV/atom
- E: -8.99 eV per atom

Unit cell a=6.6946 b=6.6946 c=3.3308 alpha=90.00 beta=90.00 gamma=120.00
Space group P-62m (No. 189)
One atom of each set of equivalent atoms:
Nb 0.0000 0.4034 0.0000 x3
Cr 0.0000 0.7439 0.5000 x3
Ge 0.0000 0.0000 0.0000 x1
Ge 0.3333 0.6667 0.5000 x2

# KTl2Si

A relaxed KTl2Si crystal (GGA-PBEsol, the Alexandria database).

Computed properties:
- V: 26.5 Å³/atom
- Energy relative to the elements, uncorrected: 0.268 eV per atom
- E: -2.77 eV per atom
- Distance to the lowest polymorph of the same formula: 0.057 eV per atom

Unit cell a=5.3311 b=5.3311 c=7.4630 alpha=90.00 beta=90.00 gamma=90.00
Space group I-4m2 (No. 119)
One atom of each set of equivalent atoms:
K 0.0000 0.0000 0.0000 x2
Tl 0.0000 0.0000 0.5000 x2
Tl 0.0000 0.5000 0.2500 x2
Si 0.0000 0.5000 0.7500 x2